[1]
# GGA-PBE SmSbPO, optimized geometry
data_SmSbPO
_space_group_name_H-M_alt 'P 1'
_space_group_IT_number 1
_space_group_name_Hall 'P 1'
_cell_length_a 5.5300
_cell_length_b 5.5300
_cell_length_c 5.2348
_cell_angle_alpha 90.00
_cell_angle_beta 90.00
_cell_angle_gamma 90.00
loop_
_atom_site_label
_atom_site_fract_x
_atom_site_fract_y
_atom_site_fract_z
Sm1 0.2500 0.7500 0.0000
Sm2 0.7500 0.2500 0.0000
Sb1 0.2500 0.2500 0.4976
Sb2 0.7500 0.7500 0.5024
P1 0.2500 0.2500 0.9890
P2 0.7500 0.7500 0.0110
O1 0.2500 0.7500 0.5000
O2 0.7500 0.2500 0.5000
# Energy above the most stable polymorph in this dataset, meV per atom: 349

***

[2]
# GGA-PBE LaSmRe, optimized geometry
data_LaSmRe
_space_group_name_H-M_alt 'P 1'
_space_group_IT_number 1
_space_group_name_Hall 'P 1'
_cell_length_a 6.8819
_cell_length_b 6.8819
_cell_length_c 6.8819
_cell_angle_alpha 90.00
_cell_angle_beta 90.00
_cell_angle_gamma 90.00
loop_
_atom_site_label
_atom_site_fract_x
_atom_site_fract_y
_atom_site_fract_z
La1 0.0000 0.0000 0.0000
La2 0.0000 0.5000 0.5000
La3 0.5000 0.0000 0.5000
La4 0.5000 0.5000 0.0000
Sm1 0.2500 0.2500 0.2500
Sm2 0.2500 0.7500 0.7500
Sm3 0.7500 0.2500 0.7500
Sm4 0.7500 0.7500 0.2500
Re1 0.0000 0.0000 0.5000
Re2 0.0000 0.5000 0.0000
Re3 0.5000 0.0000 0.0000
Re4 0.5000 0.5000 0.5000
# Energy of formation, eV per atom: 1.06
# Energy above the most stable polymorph in this dataset, meV per atom: 0

***

[3]
Material: SrTmCuTe3
Method: DFT, GGA-PBE
State: optimized geometry

Structure (CIF):
```
data_SrTmCuTe3
_space_group_name_H-M_alt 'P 1'
_space_group_IT_number 1
_space_group_name_Hall 'P 1'
_cell_length_a 8.4481
_cell_length_b 4.2858
_cell_length_c 10.4663
_cell_angle_alpha 90.00
_cell_angle_beta 105.78
_cell_angle_gamma 90.00
loop_
_atom_site_label
_atom_site_fract_x
_atom_site_fract_y
_atom_site_fract_z
Sr1 0.2354 0.2500 0.2981
Sr2 0.7646 0.7500 0.7019
Tm1 0.3114 0.7500 0.8398
Tm2 0.6886 0.2500 0.1602
Cu1 0.0737 0.2500 0.5860
Cu2 0.9263 0.7500 0.4140
Te1 0.0627 0.2500 0.8394
Te2 0.2516 0.7500 0.5438
Te3 0.4269 0.7500 0.1447
Te4 0.5731 0.2500 0.8553
Te5 0.7484 0.2500 0.4562
Te6 0.9373 0.7500 0.1606
```

***

[4]
Material: UAlFe
Method: DFT, GGA-PBE
State: optimized geometry

Structure (CIF):
```
data_UAlFe
_space_group_name_H-M_alt 'P 1'
_space_group_IT_number 1
_space_group_name_Hall 'P 1'
_cell_length_a 6.3239
_cell_length_b 6.3239
_cell_length_c 6.3239
_cell_angle_alpha 90.00
_cell_angle_beta 90.00
_cell_angle_gamma 90.00
loop_
_atom_site_label
_atom_site_fract_x
_atom_site_fract_y
_atom_site_fract_z
U1 0.0000 0.0000 0.0000
U2 0.0000 0.5000 0.5000
U3 0.5000 0.0000 0.5000
U4 0.5000 0.5000 0.0000
Al1 0.2500 0.2500 0.7500
Al2 0.2500 0.7500 0.2500
Al3 0.7500 0.2500 0.2500
Al4 0.7500 0.7500 0.7500
Fe1 0.2500 0.2500 0.2500
Fe2 0.2500 0.7500 0.7500
Fe3 0.7500 0.2500 0.7500
Fe4 0.7500 0.7500 0.2500
```

***

[5]
# GGA-PBE Co3H, optimized geometry
data_Co3H
_space_group_name_H-M_alt 'P 1'
_space_group_IT_number 1
_space_group_name_Hall 'P 1'
_cell_length_a 3.7378
_cell_length_b 3.7378
_cell_length_c 5.3750
_cell_angle_alpha 90.00
_cell_angle_beta 90.00
_cell_angle_gamma 90.00
loop_
_atom_site_label
_atom_site_fract_x
_atom_site_fract_y
_atom_site_fract_z
Co1 0.0000 0.0000 0.0000
Co2 0.0000 0.5000 0.2500
Co3 0.0000 0.5000 0.7500
Co4 0.5000 0.0000 0.2500
Co5 0.5000 0.0000 0.7500
Co6 0.5000 0.5000 0.5000
H1 0.0000 0.0000 0.5000
H2 0.5000 0.5000 0.0000
# Energy above the most stable polymorph in this dataset, meV per atom: 524

***

[6]
# GGA-PBE HfThPa, optimized geometry
data_HfThPa
_space_group_name_H-M_alt 'P 1'
_space_group_IT_number 1
_space_group_name_Hall 'P 1'
_cell_length_a 7.1711
_cell_length_b 7.1711
_cell_length_c 7.1711
_cell_angle_alpha 90.00
_cell_angle_beta 90.00
_cell_angle_gamma 90.00
loop_
_atom_site_label
_atom_site_fract_x
_atom_site_fract_y
_atom_site_fract_z
Hf1 0.0000 0.0000 0.0000
Hf2 0.0000 0.5000 0.5000
Hf3 0.5000 0.0000 0.5000
Hf4 0.5000 0.5000 0.0000
Th1 0.2500 0.2500 0.2500
Th2 0.2500 0.7500 0.7500
Th3 0.7500 0.2500 0.7500
Th4 0.7500 0.7500 0.2500
Pa1 0.2500 0.2500 0.7500
Pa2 0.2500 0.7500 0.2500
Pa3 0.7500 0.2500 0.2500
Pa4 0.7500 0.7500 0.7500
# Energy of formation, eV per atom: 0.79
# Energy above the most stable polymorph in this dataset, meV per atom: 0

***

[7]
Material: CuReNiPb
Method: DFT, GGA-PBE
State: optimized geometry

Structure (CIF):
```
data_CuReNiPb
_space_group_name_H-M_alt 'P 1'
_space_group_IT_number 1
_space_group_name_Hall 'P 1'
_cell_length_a 6.2843
_cell_length_b 6.2843
_cell_length_c 6.2843
_cell_angle_alpha 90.00
_cell_angle_beta 90.00
_cell_angle_gamma 90.00
loop_
_atom_site_label
_atom_site_fract_x
_atom_site_fract_y
_atom_site_fract_z
Cu1 0.0000 0.0000 0.0000
Cu2 0.0000 0.5000 0.5000
Cu3 0.5000 0.0000 0.5000
Cu4 0.5000 0.5000 0.0000
Re1 0.2500 0.2500 0.2500
Re2 0.2500 0.7500 0.7500
Re3 0.7500 0.2500 0.7500
Re4 0.7500 0.7500 0.2500
Ni1 0.0000 0.0000 0.5000
Ni2 0.0000 0.5000 0.0000
Ni3 0.5000 0.0000 0.0000
Ni4 0.5000 0.5000 0.5000
Pb1 0.2500 0.2500 0.7500
Pb2 0.2500 0.7500 0.2500
Pb3 0.7500 0.2500 0.2500
Pb4 0.7500 0.7500 0.7500
```

***

[8]
Material: Y3Mg3Cd2Au
Method: DFT, GGA-PBE
State: optimized geometry

Structure (CIF):
```
data_Y3Mg3Cd2Au
_space_group_name_H-M_alt 'P 1'
_space_group_IT_number 1
_space_group_name_Hall 'P 1'
_cell_length_a 7.6860
_cell_length_b 7.6860
_cell_length_c 4.3122
_cell_angle_alpha 90.00
_cell_angle_beta 90.00
_cell_angle_gamma 120.00
loop_
_atom_site_label
_atom_site_fract_x
_atom_site_fract_y
_atom_site_fract_z
Y1 0.0000 0.5970 0.0000
Y2 0.4030 0.4030 0.0000
Y3 0.5970 0.0000 0.0000
Mg1 0.0000 0.2400 0.5000
Mg2 0.2400 0.0000 0.5000
Mg3 0.7600 0.7600 0.5000
Cd1 0.3333 0.6667 0.5000
Cd2 0.6667 0.3333 0.5000
Au1 0.0000 0.0000 0.0000
```

***

| no. | electronic total energy (eV/atom) |
| --- | --- |
| 1 | -5.74 |
| 2 | -6.29 |
| 3 | -4.39 |
| 4 | -6.67 |
| 5 | -5.46 |
| 6 | -8.17 |
| 7 | -5.57 |
| 8 | -3.65 |